(1)
This record from the Alexandria database describes crystalline Hf3HSe at its relaxed geometry. The functional is GGA-PBE.

a b c (Å): 4.3731 4.3731 4.3731
angles (deg): 90.00 90.00 90.00
Space group Pm-3m (No. 221)
Unique sites:
Hf (0.0000, 0.0000, 0.5000)
H (0.0000, 0.0000, 0.0000)
Se (0.5000, 0.5000, 0.5000)

Results
Theoretical density ... 12.22 g/cm3
Uncorrected energy ... -7.51 eV/atom



(2)
This record from the Alexandria database describes crystalline HfH2Se at its relaxed geometry. The functional is GGA-PBE.

a b c (Å): 3.4448 9.6827 5.8481
angles (deg): 90.00 90.00 90.00
Space group Cmcm (No. 63)
Unique sites:
Hf (0.0000, 0.2359, 0.2500)
H (0.0000, 0.3173, 0.5700)
Se (0.0000, 0.0555, 0.7500)

Results
Theoretical density ... 8.84 g/cm3
Uncorrected energy ... -5.67 eV/atom



no.,N(E_F) (states/eV per atom)
1,1.13
2,0.08